No. 1
Below is AcSm2TmTl4 after structural relaxation, with properties calculated at the GGA-PBE level.

The structure in POSCAR format:
```
AcSm2TmTl4
1.0
2.760 1.594 9.124
-2.760 1.594 9.124
0.000 -3.187 9.124
Ac Sm Tm Tl
1 2 1 4
direct
0.000 0.000 0.000
0.248 0.248 0.248
0.752 0.752 0.752
0.500 0.500 0.500
0.129 0.129 0.129
0.380 0.380 0.380
0.620 0.620 0.620
0.871 0.871 0.871
```

Calculated values
Space group ... R-3m
Size of the total moment ... 0.0 Bohr magnetons per cell



No. 2
Below is AcSmTmTl after structural relaxation, with properties calculated at the GGA-PBE level.

The structure in POSCAR format:
```
AcSmTmTl
1.0
0.000 3.984 3.984
3.984 0.000 3.984
3.984 3.984 0.000
Ac Sm Tm Tl
1 1 1 1
direct
0.000 0.000 0.000
0.750 0.750 0.750
0.250 0.250 0.250
0.500 0.500 0.500
```

Calculated values
Space group ... F-43m
Size of the total moment ... 0.0 Bohr magnetons per cell



No. 3
Below is AcSmYTl after structural relaxation, with properties calculated at the GGA-PBE level.

The structure in POSCAR format:
```
AcSmYTl
1.0
0.000 4.003 4.003
4.003 0.000 4.003
4.003 4.003 0.000
Ac Sm Y Tl
1 1 1 1
direct
0.000 0.000 0.000
0.750 0.750 0.750
0.250 0.250 0.250
0.500 0.500 0.500
```

Calculated values
Space group ... F-43m
Size of the total moment ... 0.0 Bohr magnetons per cell



No. 4
Below is AcSm2YTl2 after structural relaxation, with properties calculated at the GGA-PBE level.

The structure in POSCAR format:
```
AcSm2YTl2
1.0
5.202 0.000 0.000
0.000 10.400 0.000
0.000 0.000 7.191
Ac Sm Y Tl
2 4 2 4
direct
0.000 0.048 0.000
0.000 0.952 0.500
0.000 0.322 0.389
0.000 0.678 0.889
0.500 0.451 0.101
0.500 0.549 0.601
0.500 0.202 0.714
0.500 0.798 0.214
0.000 0.369 0.839
0.000 0.631 0.339
0.500 0.138 0.275
0.500 0.862 0.775
```

Calculated values
Space group ... Pmc2_1
Size of the total moment ... 0.0 Bohr magnetons per cell



No. 5
Below is AcSm2Tl2Zn2 after structural relaxation, with properties calculated at the GGA-PBE level.

The structure in POSCAR format:
```
AcSm2Tl2Zn2
1.0
2.430 1.403 9.626
-2.430 1.403 9.626
0.000 -2.806 9.626
Ac Sm Tl Zn
1 2 2 2
direct
0.000 0.000 0.000
0.132 0.132 0.132
0.868 0.868 0.868
0.261 0.261 0.261
0.739 0.739 0.739
0.426 0.426 0.426
0.574 0.574 0.574
```

Calculated values
Space group ... R-3m
Size of the total moment ... 0.0 Bohr magnetons per cell



No. 6
Below is AcSmTm after structural relaxation, with properties calculated at the GGA-PBE level.

The structure in POSCAR format:
```
AcSmTm
1.0
6.513 0.000 0.000
0.000 12.044 0.000
-2.963 0.000 5.487
Ac Sm Tm
4 4 4
direct
0.171 0.133 0.157
0.171 0.367 0.657
0.829 0.633 0.343
0.829 0.867 0.843
0.188 0.616 0.013
0.188 0.884 0.513
0.812 0.116 0.487
0.812 0.384 0.987
0.484 0.616 0.659
0.484 0.884 0.159
0.516 0.116 0.841
0.516 0.384 0.341
```

Calculated values
Space group ... P2_1/c
Size of the total moment ... 0.0 Bohr magnetons per cell



No. 7
Below is Ac4Sm3Tm after structural relaxation, with properties calculated at the GGA-PBE level.

The structure in POSCAR format:
```
Ac4Sm3Tm
1.0
-1.846 6.025 7.017
1.846 -6.025 7.017
1.846 6.025 -7.017
Ac Sm Tm
4 3 1
direct
0.118 0.869 0.249
0.380 0.131 0.249
0.620 0.869 0.751
0.882 0.131 0.751
0.000 0.500 0.500
0.270 0.270 0.000
0.730 0.730 0.000
0.500 0.000 0.500
```

Calculated values
Space group ... Immm
Size of the total moment ... 0.0 Bohr magnetons per cell



No. 8
Below is Ac2SmTm after structural relaxation, with properties calculated at the GGA-PBE level.

The structure in POSCAR format:
```
Ac2SmTm
1.0
5.423 0.000 0.000
0.000 5.423 0.000
0.000 0.000 5.154
Ac Sm Tm
2 1 1
direct
0.000 0.500 0.000
0.500 0.000 0.000
0.000 0.000 0.500
0.500 0.500 0.500
```

Calculated values
Space group ... P4/mmm
Size of the total moment ... 0.0 Bohr magnetons per cell



Number 1: calculated density 10.44 g/cm³, calculated formation energy -0.322 eV/atom, calculated volume 240.79 Å³ per cell. Number 2: calculated density 9.86 g/cm³, calculated formation energy 0.053 eV/atom, calculated volume 126.48 Å³ per cell. Number 3: calculated density 8.68 g/cm³, calculated formation energy 0.020 eV/atom, calculated volume 128.27 Å³ per cell. Number 4: calculated density 8.75 g/cm³, calculated formation energy -0.243 eV/atom, calculated volume 389.02 Å³ per cell. Number 5: calculated density 9.00 g/cm³, calculated formation energy -0.204 eV/atom, calculated volume 196.86 Å³ per cell. Number 6: calculated density 8.43 g/cm³, calculated formation energy 0.064 eV/atom, calculated volume 430.46 Å³ per cell. Number 7: calculated density 8.13 g/cm³, calculated formation energy 0.155 eV/atom, calculated volume 312.27 Å³ per cell. Number 8: calculated density 8.47 g/cm³, calculated formation energy 0.045 eV/atom, calculated volume 151.58 Å³ per cell.